[1]
This record from Alexandria via LeMat-Bulk describes crystalline HoSiCl at its relaxed geometry. The functional is PBE-GGA.

Lattice parameters (Å, degrees): 4.1172 21.4741 3.6943 90.00 90.00 90.00
Last column: nearest neighbours and their distance in Å.
Space group Cmcm (No. 63)
Asymmetric unit:
Ho 0.0000 0.0820 0.2500 (multiplicity 4)  2 Cl 2.67, 4 Si 2.95
Si 0.0000 0.4659 0.2500 (multiplicity 4)  2 Si 2.36
Cl 0.0000 0.1715 0.7500 (multiplicity 4)  2 Ho 2.67

magnetic moment	0.000	μB/cell
formation energy (no corrections)	-366	kJ/mol of formula units


[2]
This record from Alexandria via LeMat-Bulk describes crystalline KPuAg2Cl6 at its relaxed geometry. The functional is PBE-GGA.

Lattice parameters (Å, degrees): 7.3148 7.3148 19.6985 90.00 90.00 120.00
Last column: nearest neighbours and their distance in Å.
Space group R3 (No. 146, hexagonal axes)
Asymmetric unit:
K 0.0000 0.0000 0.0000 (multiplicity 3)  6 Cl 3.13-3.15
Pu 0.0000 0.0000 0.4941 (multiplicity 3)  6 Cl 2.70-2.78
Ag 0.0000 0.0000 0.2540 (multiplicity 3)  3 Cl 2.53
Ag 0.0000 0.0000 0.6973 (multiplicity 3)  3 Cl 2.67
Cl 0.0160 0.6477 0.0858 (multiplicity 9)  1 Ag 2.67, 1 Pu 2.70
Cl 0.0556 0.3708 0.2530 (multiplicity 9)  1 Ag 2.53, 1 Pu 2.78

magnetic moment	15.000	μB/cell
formation energy (no corrections)	-1277	kJ/mol of formula units


[3]
This record from Alexandria via LeMat-Bulk describes crystalline AlZnAg4 at its relaxed geometry. The functional is PBE-GGA.

Lattice parameters (Å, degrees): 5.8931 6.7590 5.8791 90.00 90.00 90.00
Last column: nearest neighbours and their distance in Å.
Space group Cmmm (No. 65)
Asymmetric unit:
Al 0.0000 0.0000 0.0000 (multiplicity 2)  8 Ag 2.68
Zn 0.0000 0.5000 0.5000 (multiplicity 2)  8 Ag 2.68
Ag 0.2500 0.2500 0.2489 (multiplicity 8)  2 Al 2.68, 2 Zn 2.68, 4 Ag 2.93-2.95

magnetic moment	0.000	μB/cell
ΔH_f (0 K)	0.80	eV/f.u.
energy relative to the lowest polymorph listed for this composition	0.179	eV per atom


[4]
This record from Alexandria via LeMat-Bulk describes crystalline SbMoIr2 at its relaxed geometry. The functional is PBE-GGA.

Lattice parameters (Å, degrees): 4.8306 4.8306 2.8706 90.00 90.00 90.00
Last column: nearest neighbours and their distance in Å.
Space group P4/mmm (No. 123)
Asymmetric unit:
Sb 0.0000 0.0000 0.0000 (multiplicity 1)  8 Ir 2.81, 2 Sb 2.87
Mo 0.5000 0.5000 0.0000 (multiplicity 1)  8 Ir 2.81, 2 Mo 2.87
Ir 0.0000 0.5000 0.5000 (multiplicity 2)  4 Mo 2.81, 4 Sb 2.81, 2 Ir 2.87

magnetic moment	0.001	μB/cell
formation energy (no corrections)	124	kJ/mol of formula units


[5]
This record from Alexandria via LeMat-Bulk describes crystalline LaV2Os at its relaxed geometry. The functional is PBE-GGA.

Lattice parameters (Å, degrees): 4.6252 4.6252 17.2080 90.00 90.00 90.00
Last column: nearest neighbours and their distance in Å.
Space group I4_1/amd (No. 141, origin choice 2)
Asymmetric unit:
La 0.0000 0.2500 0.3750 (multiplicity 4)  4 Os 3.27, 8 V 3.36
V 0.0000 0.0000 0.0000 (multiplicity 8)  2 V 2.31, 2 Os 2.44
Os 0.0000 0.2500 0.8750 (multiplicity 4)  4 V 2.44

magnetic moment	0.007	μB/cell
ΔH_f (0 K)	2.64	eV/f.u.
energy relative to the lowest polymorph listed for this composition	0.358	eV per atom


[6]
This record from Alexandria via LeMat-Bulk describes crystalline Al2TlGa at its relaxed geometry. The functional is PBE-GGA.

Lattice parameters (Å, degrees): 6.9698 6.9698 6.9698 90.00 90.00 90.00
Last column: nearest neighbours and their distance in Å.
Space group Fm-3m (No. 225)
Asymmetric unit:
Al 0.2500 0.2500 0.2500 (multiplicity 8)  4 Tl 3.02, 4 Ga 3.02
Tl 0.0000 0.0000 0.0000 (multiplicity 4)  8 Al 3.02
Ga 0.0000 0.0000 0.5000 (multiplicity 4)  8 Al 3.02

magnetic moment	0.000	μB/cell
ΔH_f (0 K)	1.11	eV/f.u.
energy relative to the lowest polymorph listed for this composition	0.075	eV per atom


[7]
This record from Alexandria via LeMat-Bulk describes crystalline Hg3RuF at its relaxed geometry. The functional is PBE-GGA.

Lattice parameters (Å, degrees): 4.7049 4.7049 4.7049 90.00 90.00 90.00
Last column: nearest neighbours and their distance in Å.
Space group Pm-3m (No. 221)
Asymmetric unit:
Hg 0.0000 0.0000 0.5000 (multiplicity 3)  2 F 2.35
Ru 0.5000 0.5000 0.5000 (multiplicity 1)  12 Hg 3.33
F 0.0000 0.0000 0.0000 (multiplicity 1)  6 Hg 2.35

magnetic moment	1.000	μB/cell
formation energy (no corrections)	256	kJ/mol of formula units
energy relative to the lowest polymorph listed for this composition	0.234	eV per atom


[8]
This record from Alexandria via LeMat-Bulk describes crystalline TbCeGe3 at its relaxed geometry. The functional is PBE-GGA.

Lattice parameters (Å, degrees): 4.2385 26.8540 4.0162 90.00 90.00 90.00
Last column: nearest neighbours and their distance in Å.
Space group Cmcm (No. 63)
Asymmetric unit:
Tb 0.0000 0.2036 0.2500 (multiplicity 4)  7 Ge 2.96-3.03
Ce 0.0000 0.0733 0.7500 (multiplicity 4)  10 Ge 3.16-3.45
Ge 0.0000 0.3143 0.2500 (multiplicity 4)  2 Ge 2.62
Ge 0.0000 0.3768 0.7500 (multiplicity 4)  3 Ge 2.55-2.62
Ge 0.0000 0.4717 0.7500 (multiplicity 4)  3 Ge 2.52-2.55

magnetic moment	2.613	μB/cell
ΔH_f (0 K)	-3.43	eV/f.u.


[9]
This record from Alexandria via LeMat-Bulk describes crystalline SiAsI3 at its relaxed geometry. The functional is PBE-GGA.

Lattice parameters (Å, degrees): 5.6891 5.6891 5.6891 90.00 90.00 90.00
Last column: nearest neighbours and their distance in Å.
Space group Pm-3m (No. 221)
Asymmetric unit:
Si 0.0000 0.0000 0.0000 (multiplicity 1)  12 I 4.02
As 0.5000 0.5000 0.5000 (multiplicity 1)  6 I 2.84
I 0.0000 0.5000 0.5000 (multiplicity 3)  2 As 2.84

magnetic moment	1.039	μB/cell
formation energy (no corrections)	309	kJ/mol of formula units
energy relative to the lowest polymorph listed for this composition	0.100	eV per atom


[10]
This record from Alexandria via LeMat-Bulk describes crystalline BaGe3I at its relaxed geometry. The functional is PBE-GGA.

Lattice parameters (Å, degrees): 5.5619 5.5619 5.5619 90.00 90.00 90.00
Last column: nearest neighbours and their distance in Å.
Space group Pm-3m (No. 221)
Asymmetric unit:
Ba 0.0000 0.0000 0.0000 (multiplicity 1)  12 Ge 3.93
Ge 0.0000 0.5000 0.5000 (multiplicity 3)  2 I 2.78
I 0.5000 0.5000 0.5000 (multiplicity 1)  6 Ge 2.78

magnetic moment	0.000	μB/cell
formation energy (no corrections)	234	kJ/mol of formula units
energy relative to the lowest polymorph listed for this composition	0.000	eV per atom


[11]
This record from Alexandria via LeMat-Bulk describes crystalline SmZn9Au3 at its relaxed geometry. The functional is PBE-GGA.

Lattice parameters (Å, degrees): 5.5157 12.7377 6.8908 90.00 112.71 90.00
Last column: nearest neighbours and their distance in Å.
Space group C2/m (No. 12)
Asymmetric unit:
Sm 0.0000 0.0000 0.0000 (multiplicity 2)  14 Zn 3.21-3.48, 6 Au 3.45-3.47
Zn 0.0000 0.5000 0.5000 (multiplicity 2)  8 Zn 2.60-2.80, 2 Au 2.76
Zn 0.0999 0.3948 0.2158 (multiplicity 8)  4 Zn 2.60-2.86, 3 Au 2.67-2.69
Zn 0.1811 0.1774 0.3585 (multiplicity 8)  3 Zn 2.58-2.86, 3 Au 2.79-2.84
Au 0.0000 0.0000 0.5000 (multiplicity 2)  10 Zn 2.68-2.79
Au 0.2500 0.2500 0.0000 (multiplicity 4)  8 Zn 2.67-2.84, 2 Au 2.76

magnetic moment	0.000	μB/cell
ΔH_f (0 K)	-3.14	eV/f.u.


[12]
This record from Alexandria via LeMat-Bulk describes crystalline TmTh2Pd2 at its relaxed geometry. The functional is PBE-GGA.

Lattice parameters (Å, degrees): 3.8528 6.7849 9.8071 90.00 90.00 90.00
Last column: nearest neighbours and their distance in Å.
Space group Immm (No. 71)
Asymmetric unit:
Tm 0.0000 0.0000 0.0000 (multiplicity 2)  4 Pd 2.79
Th 0.0000 0.5000 0.1991 (multiplicity 4)  4 Pd 3.07
Pd 0.0000 0.2033 0.5000 (multiplicity 4)  1 Pd 2.76, 2 Tm 2.79, 4 Th 3.07

magnetic moment	0.000	μB/cell
ΔH_f (0 K)	-2.91	eV/f.u.
energy relative to the lowest polymorph listed for this composition	0.078	eV per atom


[13]
This record from Alexandria via LeMat-Bulk describes crystalline SrI4 at its relaxed geometry. The functional is PBE-GGA.

Lattice parameters (Å, degrees): 6.4366 6.4366 6.4366 90.00 90.00 90.00
Last column: nearest neighbours and their distance in Å.
Space group Pm-3m (No. 221)
Asymmetric unit:
Sr 0.0000 0.0000 0.0000 (multiplicity 1)  6 I 3.22
I 0.0000 0.0000 0.5000 (multiplicity 3)  2 Sr 3.22
I 0.5000 0.5000 0.5000 (multiplicity 1)  12 I 4.55

magnetic moment	2.095	μB/cell
formation energy (no corrections)	-295	kJ/mol of formula units